CdAu2Se: relaxed, PBE-GGA.

The structure in CIF format:
```
data_CdAu2Se
_symmetry_space_group_name_H-M 'R -3 m'
_symmetry_Int_Tables_number 166
_symmetry_space_group_name_Hall '-R 3 2"'
_cell_length_a 4.1453
_cell_length_b 4.1453
_cell_length_c 17.5819
_cell_angle_alpha 90.00
_cell_angle_beta 90.00
_cell_angle_gamma 120.00
loop_
_atom_site_label
_atom_site_type_symbol
_atom_site_fract_x
_atom_site_fract_y
_atom_site_fract_z
Cd1 Cd 0.0000 0.0000 0.0000
Au1 Au 0.0000 0.0000 0.2479
Se1 Se 0.0000 0.0000 0.5000
```

Computed properties:
Energy relative to the lowest polymorph listed for this composition (meV/atom): 92.6
Energy relative to the elements, uncorrected (eV per atom): 0.057

Pm2Dy3Tl3: relaxed, PBE-GGA.

The structure in CIF format:
```
data_Pm2Dy3Tl3
_symmetry_space_group_name_H-M 'P 63/m c m'
_symmetry_Int_Tables_number 193
_symmetry_space_group_name_Hall '-P 6c 2'
_cell_length_a 9.1288
_cell_length_b 9.1288
_cell_length_c 6.7561
_cell_angle_alpha 90.00
_cell_angle_beta 90.00
_cell_angle_gamma 120.00
loop_
_atom_site_label
_atom_site_type_symbol
_atom_site_fract_x
_atom_site_fract_y
_atom_site_fract_z
Pm1 Pm 0.3333 0.6667 0.0000
Dy1 Dy 0.0000 0.2334 0.2500
Tl1 Tl 0.0000 0.3985 0.7500
```

Computed properties:
Energy relative to the lowest polymorph listed for this composition (meV/atom): 0.0
Formation energy from the elements (eV per atom): -0.275

MnFe2Ag: relaxed, PBE-GGA.

The structure in CIF format:
```
data_MnFe2Ag
_symmetry_space_group_name_H-M 'F -4 3 m'
_symmetry_Int_Tables_number 216
_symmetry_space_group_name_Hall 'F -4 2 3'
_cell_length_a 6.0659
_cell_length_b 6.0659
_cell_length_c 6.0659
_cell_angle_alpha 90.00
_cell_angle_beta 90.00
_cell_angle_gamma 90.00
loop_
_atom_site_label
_atom_site_type_symbol
_atom_site_fract_x
_atom_site_fract_y
_atom_site_fract_z
Mn1 Mn 0.0000 0.0000 0.0000
Fe1 Fe 0.0000 0.0000 0.5000
Fe2 Fe 0.2500 0.2500 0.7500
Ag1 Ag 0.2500 0.2500 0.2500
```

Computed properties:
Energy relative to the lowest polymorph listed for this composition (meV/atom): 132.7
Formation energy from the elements (eV per atom): 0.412

La3CePa2N6: relaxed, PBE-GGA.

The structure in CIF format:
```
data_La3CePa2N6
_symmetry_space_group_name_H-M 'C 1 2/m 1'
_symmetry_Int_Tables_number 12
_cell_length_a 6.2505
_cell_length_b 10.8236
_cell_length_c 6.3239
_cell_angle_alpha 90.00
_cell_angle_beta 109.21
_cell_angle_gamma 90.00
loop_
_symmetry_equiv_pos_as_xyz
'x,y,z'
'-x,-y,-z'
'-x,y,-z'
'x,-y,z'
'x+1/2,y+1/2,z'
'-x+1/2,-y+1/2,-z'
'-x+1/2,y+1/2,-z'
'x+1/2,-y+1/2,z'
loop_
_atom_site_label
_atom_site_type_symbol
_atom_site_fract_x
_atom_site_fract_y
_atom_site_fract_z
La1 La 0.0000 0.0000 0.0000
La2 La 0.0000 0.3347 0.0000
Ce1 Ce 0.0000 0.5000 0.5000
Pa1 Pa 0.0000 0.1668 0.5000
N1 N 0.2204 0.0000 0.7049
N2 N 0.2431 0.3261 0.7075
```

Computed properties:
Energy relative to the elements, uncorrected (eV per atom): -1.548

Calculated calculated density (Mg/m³), listed in the same order as above: 11.14; 9.47; 8.17; 9.07